{"formula": "Cs2LiCr3F12", "functional": "PBE+U", "state": "optimized geometry", "final_energy_ev_per_cell": -99.7, "cell": [[3.695, 2.133, 6.057], [-3.695, 2.133, 6.057], [0.000, -4.266, 6.057]], "species": ["Cs", "Cs", "Li", "Cr", "Cr", "Cr", "F", "F", "F", "F", "F", "F", "F", "F", "F", "F", "F", "F"], "frac_coords": [[0.131, 0.131, 0.131], [0.869, 0.869, 0.869], [0.500, 0.500, 0.500], [0.000, 0.500, 0.500], [0.500, 0.000, 0.500], [0.500, 0.500, 0.000], [0.165, 0.571, 0.571], [0.185, 0.185, 0.572], [0.185, 0.572, 0.185], [0.428, 0.815, 0.815], [0.429, 0.429, 0.835], [0.429, 0.835, 0.429], [0.571, 0.165, 0.571], [0.571, 0.571, 0.165], [0.572, 0.185, 0.185], [0.815, 0.428, 0.815], [0.815, 0.815, 0.428], [0.835, 0.429, 0.429]]}